Record 1
First-principles (PBE-GGA) data for RbNa2CeF6 after structural relaxation, as listed in Alexandria.

Geometry as CIF:
```
data_RbNa2CeF6
_chemical_formula_sum 'Rb1 Na2 Ce1 F6'
_symmetry_space_group_name_H-M 'P 1'
_symmetry_Int_Tables_number 1
_cell_length_a 6.193
_cell_length_b 6.192
_cell_length_c 6.449
_cell_angle_alpha 89.99
_cell_angle_beta 118.70
_cell_angle_gamma 120.01
loop_
_symmetry_equiv_pos_as_xyz
'x,y,z'
loop_
_atom_site_label
_atom_site_fract_x
_atom_site_fract_y
_atom_site_fract_z
_atom_site_occupancy
Na1 0.599 0.299 0.884 1
Na2 0.582 0.790 0.358 1
Ce1 0.003 0.001 0.990 1
Rb1 0.044 0.521 0.551 1
F1 0.105 0.400 0.151 1
F2 0.765 0.705 0.151 1
F3 0.727 0.602 0.689 1
F4 0.101 0.123 0.689 1
F5 0.580 0.977 0.689 1
F6 0.460 0.059 0.151 1
```

Results
M_tot = 1.001 μB per formula unit
Symmetry = R3
Final energy = -5.302 eV/atom
Raw formation energy = -311 kJ/mol of atoms


Record 2
First-principles (PBE-GGA) data for In2GeRh after structural relaxation, as listed in Alexandria.

Geometry as CIF:
```
data_In2GeRh
_chemical_formula_sum 'In2 Ge1 Rh1'
_symmetry_space_group_name_H-M 'P 1'
_symmetry_Int_Tables_number 1
_cell_length_a 3.062
_cell_length_b 3.062
_cell_length_c 10.661
_cell_angle_alpha 81.74
_cell_angle_beta 81.74
_cell_angle_gamma 60.00
loop_
_symmetry_equiv_pos_as_xyz
'x,y,z'
loop_
_atom_site_label
_atom_site_fract_x
_atom_site_fract_y
_atom_site_fract_z
_atom_site_occupancy
In1 0.917 0.917 0.249 1
In2 0.083 0.083 0.751 1
Rh1 0.000 0.000 0.000 1
Ge1 0.500 0.500 0.500 1
```

Results
M_tot = 0.000 μB per formula unit
Symmetry = R-3m
Final energy = -3.971 eV/atom
Formation enthalpy at 0 K = 9.00 kcal/mol of atoms


Record 3
First-principles (PBE-GGA) data for CePmAl after structural relaxation, as listed in Alexandria.

Geometry as CIF:
```
data_CePmAl
_chemical_formula_sum 'Ce1 Pm1 Al1'
_symmetry_space_group_name_H-M 'P 1'
_symmetry_Int_Tables_number 1
_cell_length_a 3.984
_cell_length_b 3.984
_cell_length_c 5.759
_cell_angle_alpha 110.23
_cell_angle_beta 110.23
_cell_angle_gamma 90.00
loop_
_symmetry_equiv_pos_as_xyz
'x,y,z'
loop_
_atom_site_label
_atom_site_fract_x
_atom_site_fract_y
_atom_site_fract_z
_atom_site_occupancy
Ce1 0.603 0.603 0.207 1
Pm1 0.297 0.297 0.593 1
Al1 0.950 0.950 0.900 1
```

Results
M_tot = 0.609 μB per formula unit
Symmetry = I4mm
Final energy = -4.925 eV/atom
Formation enthalpy at 0 K = -2.67 kcal/mol of atoms
Polymorph energy (0 for the lowest one) = 99 meV/atom


Density of states at the Fermi level, record by record: 0.83; 3.33; 6.97 states/eV per cell